Below is a crystal of MoRh3Au relaxed with PBEsol, with properties calculated at the meta-GGA SCAN level.

Values from the calculation:
The energy of formation from the pure elements comes out at 573 kJ/mol of formula units. As for the spin magnetization: 0.00 μB per formula unit.

Cell lengths 4.5557, 4.5557, 4.5557 Å; angles 90.00, 90.00, 90.00 degrees
With the nearest neighbours (Å) after each atom.
Element x y z (fractional)
Mo1 0.0000 0.0000 0.0000  6 Rh 2.28
Rh1 0.0000 0.5000 0.0000  2 Mo 2.28
Rh2 0.5000 0.0000 0.0000  2 Mo 2.28
Rh3 0.0000 0.0000 0.5000  2 Mo 2.28
Au1 0.5000 0.5000 0.5000  12 Rh 3.22